Compound: LiTb2TlHg4
Source: the Alexandria database
Functional: PBE-GGA
Structure: relaxed

Output
ΔE_f: -0.389 eV per atom
Space-group type: R-3m, No. 166

Unit cell a=5.128 b=5.128 c=8.830 alpha=73.12 beta=73.12 gamma=60.00
Fractional positions:
Li 0.500 0.500 0.500
Tb 0.745 0.745 0.765
Tb 0.255 0.255 0.235
Tl 0.000 0.000 0.000
Hg 0.385 0.385 0.844
Hg 0.867 0.867 0.400
Hg 0.133 0.133 0.600
Hg 0.615 0.615 0.156

***

Compound: Ac8Tl2Sn
Source: the Alexandria database
Functional: PBE-GGA
Structure: relaxed

Output
ΔE_f: -0.215 eV per atom
Space-group type: C2/m, No. 12

Unit cell a=5.687 b=7.587 c=10.926 alpha=101.30 beta=105.09 gamma=90.00
Fractional positions:
Ac 0.410 0.544 0.819
Ac 0.658 0.981 0.317
Ac 0.792 0.677 0.584
Ac 0.977 0.232 0.954
Ac 0.208 0.323 0.416
Ac 0.342 0.019 0.683
Ac 0.590 0.456 0.181
Ac 0.023 0.768 0.046
Tl 0.813 0.244 0.627
Tl 0.187 0.756 0.373
Sn 0.500 0.000 0.000

***

Compound: CrReRu2
Source: the Alexandria database
Functional: PBE-GGA
Structure: relaxed

Output
ΔE_f: 0.090 eV per atom
Space-group type: C2/m, No. 12

Unit cell a=4.659 b=4.659 c=4.645 alpha=80.11 beta=80.11 gamma=33.66
Fractional positions:
Cr 0.750 0.750 0.750
Re 0.250 0.250 0.250
Ru 0.003 0.003 0.994
Ru 0.497 0.497 0.506

***

What is the ΔE_f in the second record? -0.215 eV per atom

***

ΔE_f of number 1 (LiTb2TlHg4)? -0.389 eV per atom

***

What did the first record say?
Compound: LiTb2TlHg4
Source: the Alexandria database
Functional: PBE-GGA
Structure: relaxed

Output
ΔE_f: -0.389 eV per atom
Space-group type: R-3m, No. 166

Unit cell a=5.128 b=5.128 c=8.830 alpha=73.12 beta=73.12 gamma=60.00
Fractional positions:
Li 0.500 0.500 0.500
Tb 0.745 0.745 0.765
Tb 0.255 0.255 0.235
Tl 0.000 0.000 0.000
Hg 0.385 0.385 0.844
Hg 0.867 0.867 0.400
Hg 0.133 0.133 0.600
Hg 0.615 0.615 0.156

***

Which of these has the lowest ΔE_f? LiTb2TlHg4